(1)
## La2Pm4Y2Mg (GGA-PBE)

Data for a relaxed La2Pm4Y2Mg crystal.

a b c (Å): 6.498 9.409 6.496
angles (deg): 125.01 108.74 84.77
Atoms (fractional coordinates):
Pm (0.218, 0.430, 0.204)
Pm (0.266, 0.284, 0.590)
Pm (0.782, 0.570, 0.796)
Pm (0.734, 0.716, 0.410)
Y (0.272, 0.930, 0.624)
Y (0.728, 0.070, 0.376)
La (0.312, 0.719, 0.970)
La (0.688, 0.281, 0.030)
Mg (0.000, 0.000, 0.000)

Density of states at the Fermi level: 1.372 states/eV per atom
Space-group type: P-1 (2)
Calculated formation energy: 0.15 eV per atom

(2)
## LiAl3Cl (GGA-PBE)

Data for a relaxed LiAl3Cl crystal.

a b c (Å): 5.136 5.136 5.136
angles (deg): 90.00 90.00 90.00
Atoms (fractional coordinates):
Cl (0.000, 0.000, 0.000)
Li (0.500, 0.500, 0.500)
Al (0.000, 0.000, 0.500)
Al (0.500, 0.000, 0.000)
Al (0.000, 0.500, 0.000)

Formation energy from raw total energies: 0.53 eV per atom
Density of states at the Fermi level: 0.474 states/eV per atom
E above lowest polymorph: 0.217 eV/atom
Space-group type: Pm-3m (221)

(3)
## SmThZr2 (GGA-PBE)

Data for a relaxed SmThZr2 crystal.

a b c (Å): 5.354 5.354 5.354
angles (deg): 60.00 60.00 60.00
Atoms (fractional coordinates):
Zr (0.750, 0.750, 0.750)
Zr (0.250, 0.250, 0.250)
Th (0.000, 0.000, 0.000)
Sm (0.500, 0.500, 0.500)

Density of states at the Fermi level: 1.559 states/eV per atom
E above lowest polymorph: 0.066 eV/atom
Space-group type: Fm-3m (225)
Calculated formation energy: 0.19 eV per atom

(4)
## AcPrPAu (GGA-PBE)

Data for a relaxed AcPrPAu crystal.

a b c (Å): 5.317 5.317 5.317
angles (deg): 60.00 60.00 60.00
Atoms (fractional coordinates):
Au (0.000, 0.000, 0.000)
Pr (0.250, 0.250, 0.250)
P (0.500, 0.500, 0.500)
Ac (0.750, 0.750, 0.750)

Density of states at the Fermi level: 1.226 states/eV per atom
Space-group type: F-43m (216)
Calculated formation energy: -0.80 eV per atom

(5)
## CsHgAs2Pt (GGA-PBE)

Data for a relaxed CsHgAs2Pt crystal.

a b c (Å): 5.339 5.333 5.339
angles (deg): 90.00 90.00 90.00
Atoms (fractional coordinates):
Pt (0.000, 0.500, 0.000)
As (0.500, 0.000, 0.000)
As (0.000, 0.000, 0.500)
Cs (0.500, 0.500, 0.500)
Hg (0.000, 0.000, 0.000)

Density of states at the Fermi level: 1.083 states/eV per atom
Space-group type: P4/mmm (123)
Calculated formation energy: 0.62 eV per atom

(6)
## Ba2CaTm3O8 (GGA-PBE)

Data for a relaxed Ba2CaTm3O8 crystal.

a b c (Å): 6.914 6.914 7.352
angles (deg): 61.95 61.95 60.00
Atoms (fractional coordinates):
O (0.754, 0.754, 0.204)
O (0.246, 0.692, 0.816)
O (0.246, 0.246, 0.816)
O (0.692, 0.246, 0.816)
O (0.727, 0.727, 0.818)
O (0.754, 0.288, 0.204)
O (0.269, 0.269, 0.194)
O (0.288, 0.754, 0.204)
Ba (0.126, 0.126, 0.623)
Ba (0.499, 0.499, 0.504)
Tm (0.499, 0.997, 0.005)
Tm (0.997, 0.499, 0.005)
Tm (0.499, 0.499, 0.005)
Ca (0.897, 0.897, 0.310)

Formation energy from raw total energies: -2.99 eV per atom
Density of states at the Fermi level: 0.745 states/eV per atom
Space-group type: R3m (160)

(7)
## K3Y3PdO8 (GGA-PBE)

Data for a relaxed K3Y3PdO8 crystal.

a b c (Å): 6.794 6.794 7.402
angles (deg): 117.33 90.00 120.00
Atoms (fractional coordinates):
K (0.000, 0.000, 0.000)
K (0.000, 0.500, 0.000)
K (0.500, 0.500, 0.000)
Pd (0.000, 0.000, 0.500)
Y (0.500, 0.500, 0.500)
Y (0.500, 0.000, 0.500)
Y (0.000, 0.500, 0.500)
O (0.728, 0.455, 0.683)
O (0.787, 0.574, 0.324)
O (0.213, 0.963, 0.676)
O (0.787, 0.037, 0.324)
O (0.250, 0.037, 0.324)
O (0.272, 0.545, 0.317)
O (0.750, 0.963, 0.676)
O (0.213, 0.426, 0.676)

Formation energy from raw total energies: -2.28 eV per atom
Space-group type: R-3m (166)

(8)
## Sr3Te2O (GGA-PBE)

Data for a relaxed Sr3Te2O crystal.

a b c (Å): 7.060 7.891 15.720
angles (deg): 88.36 86.34 63.43
Atoms (fractional coordinates):
Sr (0.668, 0.190, 0.541)
Sr (0.410, 0.180, 0.750)
Sr (0.332, 0.810, 0.459)
Sr (0.858, 0.810, 0.041)
Sr (0.142, 0.190, 0.959)
Sr (0.470, 0.671, 0.866)
Sr (0.998, 0.004, 0.250)
Sr (0.530, 0.329, 0.134)
Sr (0.590, 0.820, 0.250)
Sr (0.002, 0.996, 0.750)
Sr (0.860, 0.671, 0.634)
Sr (0.140, 0.329, 0.366)
O (0.272, 0.999, 0.836)
O (0.728, 0.999, 0.664)
O (0.272, 0.001, 0.336)
O (0.728, 0.001, 0.164)
Te (0.347, 0.791, 0.074)
Te (0.983, 0.594, 0.845)
Te (0.138, 0.209, 0.574)
Te (0.577, 0.406, 0.345)
Te (0.423, 0.594, 0.655)
Te (0.017, 0.406, 0.155)
Te (0.862, 0.791, 0.426)
Te (0.653, 0.209, 0.926)

Formation energy from raw total energies: -2.04 eV per atom
Density of states at the Fermi level: 0.000 states/eV per atom
E above lowest polymorph: 0.000 eV/atom
Space-group type: C2/c (15)

Looking at DFT total energy for the records above, in order, we have -4.667 -2.465 -7.115 -5.195 -2.676 -7.200 -6.783 -4.757 eV per atom.